## Mg3CdPb2 (PBE)

Data for an optimized crystal structure of Mg3CdPb2.

a = 3.4556 Å, b = 3.4556 Å, c = 12.3874 Å
α = 90.00°, β = 90.00°, γ = 90.00°
With the nearest neighbours (Å) after each atom.
Positions (direct):
Mg1 0.0000 0.0000 0.0000  8 Pb 3.25, 4 Mg 3.46
Mg2 0.0000 0.0000 0.3504  4 Cd 3.07, 4 Pb 3.29
Mg3 0.0000 0.0000 0.6496  4 Cd 3.07, 4 Pb 3.29
Cd1 0.5000 0.5000 0.5000  8 Mg 3.07
Pb1 0.5000 0.5000 0.1730  8 Mg 3.25-3.29, 4 Pb 3.46
Pb2 0.5000 0.5000 0.8270  8 Mg 3.25-3.29, 4 Pb 3.46

Mass density: 6.733 g/cm³
DOS(E_F): 2.21 states/eV per cell
Formation energy: -0.07 eV/atom
Uncorrected energy: -13.5 eV/cell
Space-group type: P4/mmm